(1)
The following is a DFT calculation (PBE-GGA) of an optimized crystal structure of Ca2ZrAlPd.

Calculated total energy in eV/atom: -4.129
Symmetry: P4/mmm
Energy relative to the elements in eV per formula unit: 0.84

Geometry as POSCAR:
```
Ca2ZrAlPd
1.0
5.3521 0.0000 0.0000
0.0000 5.3521 0.0000
0.0000 0.0000 4.8700
Ca Zr Al Pd
2 1 1 1
Direct
0.0000 0.5000 0.0000 Ca
0.5000 0.0000 0.0000 Ca
0.0000 0.0000 0.5000 Zr
0.5000 0.5000 0.5000 Al
0.5000 0.5000 0.0000 Pd
```



(2)
The following is a DFT calculation (PBE-GGA) of an optimized crystal structure of HfCoSn.

Calculated total energy in eV/atom: -7.267
Symmetry: P-6m2
Energy relative to the elements in eV per formula unit: -0.74

Geometry as POSCAR:
```
HfCoSn
1.0
4.3945 0.0000 0.0000
-2.1972 3.8057 0.0000
0.0000 0.0000 3.2004
Hf Co Sn
1 1 1
Direct
0.0000 0.0000 0.0000 Hf
0.6667 0.3333 0.5000 Co
0.3333 0.6667 0.5000 Sn
```



What is the calculated total energy in the first record?
-4.129 eV/atom



Repeat the second record exactly.
The following is a DFT calculation (PBE-GGA) of an optimized crystal structure of HfCoSn.

Calculated total energy in eV/atom: -7.267
Symmetry: P-6m2
Energy relative to the elements in eV per formula unit: -0.74

Geometry as POSCAR:
```
HfCoSn
1.0
4.3945 0.0000 0.0000
-2.1972 3.8057 0.0000
0.0000 0.0000 3.2004
Hf Co Sn
1 1 1
Direct
0.0000 0.0000 0.0000 Hf
0.6667 0.3333 0.5000 Co
0.3333 0.6667 0.5000 Sn
```